## Na2TaMoO6 (PBE with a Hubbard U)

Data for an optimized crystal structure of Na2TaMoO6.

Space-group type   No. 123
Total moment   0.100 μB/atom
DOS at the Fermi energy   1.45 states/eV per cell
Final energy   -7.30 eV/atom

a b c (Å): 5.610 5.610 3.966
angles (deg): 90.00 90.00 90.00
Element x y z (fractional)
Na (0.000, 0.500, 0.000)
Na (0.500, 0.000, 0.000)
Ta (0.000, 0.000, 0.500)
Mo (0.500, 0.500, 0.500)
O (0.000, 0.000, 0.000)
O (0.250, 0.250, 0.500)
O (0.250, 0.750, 0.500)
O (0.500, 0.500, 0.000)
O (0.750, 0.250, 0.500)
O (0.750, 0.750, 0.500)